The following is a PBE-GGA calculation of crystalline Ce3Zr at its relaxed geometry, from the Alexandria database.

a b c (Å): 3.1561 5.3012 6.0506
angles (deg): 90.00 90.00 90.00
Atoms (fractional coordinates):
1 Ce 0.0000 0.0000 0.0000
2 Ce 0.0000 0.5000 0.2122
3 Ce 0.5000 0.5000 0.7160
4 Zr 0.5000 0.0000 0.4957

formation energy: 91 meV/atom

The following is a PBE-GGA calculation of crystalline Li3MgAu2 at its relaxed geometry, from the Alexandria database.

a b c (Å): 8.7489 8.0210 5.3229
angles (deg): 79.11 64.20 36.69
Atoms (fractional coordinates):
1 Li 0.1562 0.1562 0.8438
2 Li 0.1590 0.6765 0.3235
3 Li 0.3235 0.8410 0.1590
4 Li 0.6765 0.1590 0.8410
5 Li 0.8410 0.3235 0.6765
6 Li 0.8438 0.8438 0.1562
7 Mg 0.3298 0.3298 0.6702
8 Mg 0.6702 0.6702 0.3298
9 Au 0.2500 0.2500 0.2500
10 Au 0.2528 0.7472 0.7472
11 Au 0.7472 0.2528 0.2528
12 Au 0.7500 0.7500 0.7500

formation energy: -433 meV/atom

The following is a PBE-GGA calculation of crystalline Cu2P at its relaxed geometry, from the Alexandria database.

a b c (Å): 4.9983 4.9983 6.5885
angles (deg): 115.04 115.04 31.18
Atoms (fractional coordinates):
1 Cu 0.1412 0.1412 0.0219
2 Cu 0.1556 0.1556 0.6395
3 Cu 0.8444 0.8444 0.3605
4 Cu 0.8588 0.8588 0.9781
5 P 0.4361 0.4361 0.7106
6 P 0.5639 0.5639 0.2894

formation energy: 99 meV/atom

The following is a PBE-GGA calculation of crystalline Li5Hg3Cl12 at its relaxed geometry, from the Alexandria database.

a b c (Å): 14.0020 14.0020 14.0020
angles (deg): 109.47 109.47 109.47
Atoms (fractional coordinates):
1 Li 0.0000 0.0000 0.0000
2 Li 0.0000 0.0000 0.5000
3 Li 0.0000 0.5000 0.0000
4 Li 0.0000 0.5000 0.5000
5 Li 0.1250 0.7500 0.8750
6 Li 0.1250 0.8750 0.2500
7 Li 0.2500 0.1250 0.8750
8 Li 0.2500 0.6250 0.3750
9 Li 0.3750 0.2500 0.6250
10 Li 0.3750 0.6250 0.7500
11 Li 0.5000 0.0000 0.0000
12 Li 0.5000 0.0000 0.5000
13 Li 0.5000 0.5000 0.0000
14 Li 0.5000 0.5000 0.5000
15 Li 0.6250 0.3750 0.2500
16 Li 0.6250 0.7500 0.3750
17 Li 0.7500 0.3750 0.6250
18 Li 0.7500 0.8750 0.1250
19 Li 0.8750 0.1250 0.7500
20 Li 0.8750 0.2500 0.1250
21 Hg 0.1250 0.2500 0.3750
22 Hg 0.1250 0.3750 0.7500
23 Hg 0.2500 0.3750 0.1250
24 Hg 0.2500 0.8750 0.6250
25 Hg 0.3750 0.1250 0.2500
26 Hg 0.3750 0.7500 0.1250
27 Hg 0.6250 0.2500 0.8750
28 Hg 0.6250 0.8750 0.7500
29 Hg 0.7500 0.1250 0.3750
30 Hg 0.7500 0.6250 0.8750
31 Hg 0.8750 0.6250 0.2500
32 Hg 0.8750 0.7500 0.6250
33 Cl 0.0236 0.6509 0.1806
34 Cl 0.0236 0.8727 0.8430
35 Cl 0.0297 0.1570 0.6806
36 Cl 0.0297 0.3727 0.3491
37 Cl 0.1273 0.1570 0.9764
38 Cl 0.1273 0.4703 0.1509
39 Cl 0.1509 0.1273 0.4703
40 Cl 0.1509 0.5236 0.6806
41 Cl 0.1570 0.6806 0.0297
42 Cl 0.1570 0.9764 0.1273
43 Cl 0.1806 0.0236 0.6509
44 Cl 0.1806 0.6570 0.5297
45 Cl 0.3194 0.8491 0.4764
46 Cl 0.3194 0.9703 0.8430
47 Cl 0.3430 0.3727 0.5236
48 Cl 0.3430 0.4703 0.8194
49 Cl 0.3491 0.0297 0.3727
50 Cl 0.3491 0.8194 0.9764
51 Cl 0.3727 0.3491 0.0297
52 Cl 0.3727 0.5236 0.3430
53 Cl 0.4703 0.1509 0.1273
54 Cl 0.4703 0.8194 0.3430
55 Cl 0.4764 0.3194 0.8491
56 Cl 0.4764 0.6570 0.6273
57 Cl 0.5236 0.3430 0.3727
58 Cl 0.5236 0.6806 0.1509
59 Cl 0.5297 0.1806 0.6570
60 Cl 0.5297 0.8491 0.8727
61 Cl 0.6273 0.4764 0.6570
62 Cl 0.6273 0.6509 0.9703
63 Cl 0.6509 0.1806 0.0236
64 Cl 0.6509 0.9703 0.6273
65 Cl 0.6570 0.5297 0.1806
66 Cl 0.6570 0.6273 0.4764
67 Cl 0.6806 0.0297 0.1570
68 Cl 0.6806 0.1509 0.5236
69 Cl 0.8194 0.3430 0.4703
70 Cl 0.8194 0.9764 0.3491
71 Cl 0.8430 0.0236 0.8727
72 Cl 0.8430 0.3194 0.9703
73 Cl 0.8491 0.4764 0.3194
74 Cl 0.8491 0.8727 0.5297
75 Cl 0.8727 0.5297 0.8491
76 Cl 0.8727 0.8430 0.0236
77 Cl 0.9703 0.6273 0.6509
78 Cl 0.9703 0.8430 0.3194
79 Cl 0.9764 0.1273 0.1570
80 Cl 0.9764 0.3491 0.8194

formation energy from raw total energies: -1.032 eV/atom

The following is a PBE-GGA calculation of crystalline TaVOs3 at its relaxed geometry, from the Alexandria database.

a b c (Å): 4.4422 4.4422 4.4422
angles (deg): 90.00 90.00 90.00
Atoms (fractional coordinates):
1 Ta 0.0000 0.0000 0.0000
2 V 0.5000 0.5000 0.5000
3 Os 0.0000 0.5000 0.5000
4 Os 0.5000 0.0000 0.5000
5 Os 0.5000 0.5000 0.0000

formation energy: 1385 meV/atom

The following is a PBE-GGA calculation of crystalline DyLuPuTh at its relaxed geometry, from the Alexandria database.

a b c (Å): 5.5348 5.5348 5.5348
angles (deg): 60.00 60.00 60.00
Atoms (fractional coordinates):
1 Dy 0.0000 0.0000 0.0000
2 Lu 0.7500 0.7500 0.7500
3 Pu 0.2500 0.2500 0.2500
4 Th 0.5000 0.5000 0.5000

formation energy: 194 meV/atom

| no. | spin magnetization (μB/f.u.) |
| --- | --- |
| 1 | 0.0 |
| 2 | 0.0 |
| 3 | 0.0 |
| 4 | 0.0 |
| 5 | 0.0 |
| 6 | 7.9 |